Material: Cr2FeCo2
Method: DFT, PBE
State: optimized geometry

Lattice parameters (Å, degrees): 3.3996 3.3996 5.7117 72.69 72.69 90.00
With the nearest neighbours (Å) after each atom.
Element x y z (fractional)
Fe: 0.0000 0.0000 0.0000  8 Co 2.62
Co: 0.6014 0.6014 0.7972  1 Co 2.10, 4 Cr 2.29
Cr: 0.2500 0.7500 0.5000  4 Co 2.29, 4 Cr 2.40
Cr: 0.7500 0.2500 0.5000  4 Co 2.29, 4 Cr 2.40
Co: 0.3986 0.3986 0.2028  1 Co 2.10, 4 Cr 2.29

**Total moment**: 0.0 μB/cell
**SG**: I4/mmm (139)
**Polymorph energy (0 for the lowest one)**: 386 meV per atom

Material: CrFeCo
Method: DFT, PBE
State: optimized geometry

Lattice parameters (Å, degrees): 5.7277 5.7277 5.7277 155.20 155.20 35.36
With the nearest neighbours (Å) after each atom.
Element x y z (fractional)
Cr: 0.3386 0.3386 0.0000  4 Cr 2.46, 4 Co 2.47, 4 Fe 2.59
Co: 0.9990 0.9990 0.0000  4 Co 2.46, 4 Cr 2.47, 4 Fe 2.49
Fe: 0.6624 0.6624 0.0000  4 Fe 2.46, 4 Co 2.49, 4 Cr 2.59

**Total moment**: 2.3 μB/cell
**SG**: I4mm (107)
**Polymorph energy (0 for the lowest one)**: 6 meV per atom